[1]
Computed, not measured: a geometry-optimized Rb3BaZn2F9 structure at the PBE level of DFT.

## Properties
formation energy without anion corrections: -2.7862 eV/atom

Geometry as extended XYZ:
```
15
Lattice="6.165 0.000 0.000 -3.083 5.339 0.000 0.000 0.000 8.246" Properties=species:S:1:pos:R:3 pbc="T T T"
Zn 0.000 3.560 1.238
Zn 3.083 1.780 7.007
Ba 0.000 0.000 4.123
F 1.638 0.946 5.844
F -1.541 2.670 0.000
F 3.083 3.448 5.844
F 1.541 2.670 0.000
F 3.083 0.000 0.000
F -1.444 4.393 2.401
F 4.527 0.946 5.844
F 0.000 1.892 2.401
F 1.444 4.393 2.401
Rb 0.000 3.560 6.002
Rb 3.083 1.780 2.244
Rb 0.000 0.000 0.000
```

---

[2]
Computed, not measured: a geometry-optimized Sc2NbH structure at the PBE level of DFT.

## Properties
total energy: -25.07 eV per formula unit

Geometry as extended XYZ:
```
4
Lattice="6.120 -1.833 5.981 6.626 -4.185 3.894 7.945 -1.325 3.420" Properties=species:S:1:pos:R:3 pbc="T T T"
H 0.000 0.000 0.000
Sc 1.548 -0.549 0.994
Sc 19.143 -6.794 12.301
Nb 10.346 -3.672 6.648
```

---

[3]
Computed, not measured: a geometry-optimized CaSn2C structure at the PBE level of DFT.

## Properties
DFT formation energy: 0.4086 eV/atom

Geometry as extended XYZ:
```
8
Lattice="7.424 0.000 0.000 0.000 7.424 0.000 3.712 3.712 3.232" Properties=species:S:1:pos:R:3 pbc="T T T"
C 3.712 3.712 0.000
C 3.712 7.424 1.616
Sn 5.568 6.237 2.424
Sn 2.525 5.568 0.808
Sn 4.899 1.856 0.808
Sn 9.281 8.612 2.424
Ca 0.000 0.000 0.000
Ca 7.424 3.712 1.616
```